No. 1
Density functional theory data (PBE) for crystalline Sc2NiBr at its relaxed geometry.

Lattice parameters (Å, degrees): 7.6691 7.6691 7.6691 154.89 154.08 36.40
Sites, in units of the cell vectors:
1 Sc 0.0000 0.0000 0.0000
2 Sc 0.7985 0.2985 0.5000
3 Ni 0.4265 0.4265 0.0000
4 Br 0.1760 0.6760 0.5000

Its energy relative to the lowest polymorph listed for this composition is 0.125 eV per atom. The space-group type is Imm2, No. 44.

***

No. 2
Density functional theory data (PBE) for crystalline GeH3Se at its relaxed geometry.

Lattice parameters (Å, degrees): 3.7426 3.7426 3.7426 90.00 90.00 90.00
Sites, in units of the cell vectors:
1 Ge 0.0000 0.0000 0.0000
2 H 0.0000 0.0000 0.5000
3 H 0.0000 0.5000 0.0000
4 H 0.5000 0.0000 0.0000
5 Se 0.5000 0.5000 0.5000

Its energy relative to the lowest polymorph listed for this composition is 0.668 eV per atom. The space-group type is Pm-3m, No. 221.

***

No. 3
Density functional theory data (PBE) for crystalline Ba4TbPa3N8 at its relaxed geometry.

Lattice parameters (Å, degrees): 7.7072 7.7072 7.7072 56.33 56.33 56.33
Sites, in units of the cell vectors:
1 Ba 0.0000 0.0000 0.0000
2 Ba 0.0000 0.5000 0.5000
3 Ba 0.5000 0.0000 0.5000
4 Ba 0.5000 0.5000 0.0000
5 Tb 0.5000 0.5000 0.5000
6 Pa 0.0000 0.0000 0.5000
7 Pa 0.0000 0.5000 0.0000
8 Pa 0.5000 0.0000 0.0000
9 N 0.2073 0.7340 0.7340
10 N 0.2248 0.2248 0.2248
11 N 0.2660 0.2660 0.7927
12 N 0.2660 0.7927 0.2660
13 N 0.7340 0.2073 0.7340
14 N 0.7340 0.7340 0.2073
15 N 0.7752 0.7752 0.7752
16 N 0.7927 0.2660 0.2660

For the total energy, the calculation gives -7.97 eV/atom. The space-group type is R-3m, No. 166.

***

| no. | calculated volume (Å³ per atom) | theoretical density (kg/m³) |
| --- | --- | --- |
| 1 | 20.89 | 4542 |
| 2 | 10.48 | 4898 |
| 3 | 18.51 | 8484 |